Entry 1:
Compound: AlRuPt2
Source: the Alexandria database
Functional: PBE-GGA
Structure: optimized geometry

## Properties
E, eV/atom: -6.56
Fermi-level density of states, states/eV/cell: 17.2

Cell: 6.2213 6.2213 6.2213 Å, 90.00 90.00 90.00°
Space group F-43m (No. 216)
Inequivalent atoms, fractional coordinates:
Al  0.0000  0.0000  0.0000
Ru  0.2500  0.2500  0.2500
Pt  0.0000  0.0000  0.5000
Pt  0.2500  0.2500  0.7500



Entry 2:
Compound: TlAgAs2
Source: the Alexandria database
Functional: PBE-GGA
Structure: optimized geometry

## Properties
E, eV/atom: -3.32
Fermi-level density of states, states/eV/cell: 7.9

Cell: 6.0788 6.0788 12.4003 Å, 90.00 90.00 90.00°
Space group I-42d (No. 122)
Inequivalent atoms, fractional coordinates:
Tl  0.0000  0.0000  0.0000
Ag  0.0000  0.0000  0.5000
As  0.2181  0.2500  0.6250



Entry 3:
Compound: BaZn3Pt
Source: the Alexandria database
Functional: PBE-GGA
Structure: optimized geometry

## Properties
E, eV/atom: -2.44
Fermi-level density of states, states/eV/cell: 13.9

Cell: 7.5714 23.8516 4.6572 Å, 90.00 90.00 90.00°
Space group Cmcm (No. 63)
Inequivalent atoms, fractional coordinates:
Ba  0.0000  0.1360  0.2500
Zn  0.0000  0.0000  0.0000
Zn  0.1646  0.2510  0.7500
Pt  0.0000  0.2597  0.2500